# GdSbPt, optimized geometry, DFT GGA-PBE
# - total DFT energy (no corrections) (eV per cell) = -27.49
data_GdSbPt
_chemical_formula_sum 'Gd1 Sb1 Pt1'
_space_group_name_H-M_alt 'P -6 m 2'
_space_group_IT_number 187
_space_group_name_Hall 'P -6 2'
_cell_length_a 4.5348
_cell_length_b 4.5348
_cell_length_c 3.9642
_cell_angle_alpha 90.00
_cell_angle_beta 90.00
_cell_angle_gamma 120.00
loop_
_atom_site_label
_atom_site_type_symbol
_atom_site_fract_x
_atom_site_fract_y
_atom_site_fract_z
_atom_site_occupancy
Gd1 Gd 0.0000 0.0000 0.0000 1
Sb1 Sb 0.6667 0.3333 0.5000 1
Pt1 Pt 0.3333 0.6667 0.5000 1